A plane-wave DFT calculation with PBE was carried out for a geometry-optimized Dy3Ho4Th structure.

Calculated values
The value obtained for the formation enthalpy at 0 K is 0.172 eV/atom. Its space group is C2/m (12). For the offset from the most stable computed form, the calculation gives 0.149 eV per atom.

Lattice parameters (Å, degrees): 3.4411 6.6961 11.7364 106.62 98.43 90.00
Sites, in units of the cell vectors:
Ho1 0.7411 0.2413 0.4823
Ho2 0.2589 0.7587 0.5177
Ho3 0.1244 0.3645 0.2489
Ho4 0.8756 0.6355 0.7511
Th1 0.5000 0.0000 0.0000
Dy1 0.0000 0.5000 0.0000
Dy2 0.1241 0.8836 0.2481
Dy3 0.8759 0.1164 0.7519

A plane-wave DFT calculation with PBE was carried out for a geometry-optimized NaNpZnO4 structure.

Calculated values
Its space group is Imma (74). The calculation puts the formation energy without anion corrections at -2.20 eV/atom.

Lattice parameters (Å, degrees): 6.3958 6.5283 6.9372 122.09 90.00 119.33
Each line ends with the local moment (μB).
Sites, in units of the cell vectors:
Na1 0.8548 0.7096 0.1048  0.00
Na2 0.1452 0.2904 0.8952  0.00
Np1 0.5000 0.0000 0.5000  2.24
Np2 0.5000 0.0000 0.0000  2.24
Zn1 0.5000 0.5000 0.5000  0.00
Zn2 0.0000 0.5000 0.5000  0.00
O1 0.7288 0.4576 0.6835  -0.06
O2 0.2845 0.9893 0.2447  -0.07
O3 0.7048 0.9893 0.2447  -0.07
O4 0.7288 0.4576 0.2741  -0.06
O5 0.2712 0.5424 0.7259  -0.06
O6 0.7155 0.0107 0.7553  -0.07
O7 0.2952 0.0107 0.7553  -0.07
O8 0.2712 0.5424 0.3165  -0.06

no.,energy (eV/atom)
1,-4.770
2,-7.250